(1)
PBE ScCo3P, relaxed; energy above the most stable polymorph in this dataset = 1.752 eV/atom; formation energy from the elements = 1.51 eV/atom; SG = Pm-3m (221)
1.0
-3.798 1.981 -0.905
-1.615 -3.782 -1.502
-1.462 -0.969 4.011
P Co Sc
1 3 1
direct
0.500 0.500 0.500
0.000 0.000 0.500
0.500 0.000 0.000
0.000 0.500 0.000
0.000 0.000 0.000

(2)
PBE Hg2GeCl, relaxed; energy above the most stable polymorph in this dataset = 0.209 eV/atom; formation energy (no corrections) = 180 meV per atom; SG = Fm-3m (225)
1.0
0.000 3.652 3.652
3.652 0.000 3.652
3.652 3.652 0.000
Cl Hg Ge
1 2 1
direct
0.000 0.000 0.000
0.750 0.750 0.750
0.250 0.250 0.250
0.500 0.500 0.500

(3)
PBE Er3Ni, relaxed; formation energy from the elements = -0.27 eV/atom; SG = Pnma (62)
1.0
-4.670 2.953 -2.944
-1.819 -5.823 -2.956
-5.769 -1.884 7.260
Er Ni
12 4
direct
0.362 0.967 0.750
0.679 0.321 0.934
0.321 0.679 0.066
0.179 0.179 0.066
0.862 0.533 0.250
0.321 0.679 0.434
0.679 0.321 0.566
0.638 0.033 0.250
0.821 0.821 0.566
0.179 0.179 0.434
0.138 0.467 0.750
0.821 0.821 0.934
0.448 0.391 0.250
0.052 0.891 0.250
0.948 0.109 0.750
0.552 0.609 0.750

Calculated calculated volume, 83.9, 97.4, 401.6 Å³/cell (same order as the records).
Calculated density, 5.002, 8.680, 9.269 g/cm3 (same order as the records).